DFT (PBE-GGA) results for a relaxed structure of Ba2LiSnPb6.

Properties
For the total DFT energy (no corrections), the calculation gives -3.449 eV per atom. The calculation puts the calculated volume at 2066 Å³ per cell. The value obtained for the total magnetic moment is 0.00 μB per cell. For the energy of formation, the calculation gives -248 meV/atom.

CIF file:
```
data_Ba2LiSnPb6
_chemical_formula_sum 'Ba12 Li6 Sn6 Pb36'
_cell_length_a 7.5656
_cell_length_b 7.5656
_cell_length_c 41.6846
_cell_angle_alpha 90.00
_cell_angle_beta 90.00
_cell_angle_gamma 120.00
_symmetry_space_group_name_H-M 'R -3 m'
_symmetry_Int_Tables_number 166
_symmetry_space_group_name_Hall '-R 3 2"'
loop_
_atom_site_label
_atom_site_type_symbol
_atom_site_fract_x
_atom_site_fract_y
_atom_site_fract_z
Ba1 Ba 0.0000 0.0000 0.1093
Ba2 Ba 0.0000 0.0000 0.2843
Li1 Li 0.0000 0.0000 0.0000
Li2 Li 0.0000 0.0000 0.5000
Sn1 Sn 0.0000 0.0000 0.4267
Pb1 Pb 0.0461 0.5231 0.3005
Pb2 Pb 0.0552 0.5276 0.8626
```